Compound: Al2AgTe
Source: Alexandria
Functional: PBE-GGA
Structure: relaxed

Unit cell a=3.1630 b=3.1630 c=8.3484 alpha=90.00 beta=90.00 gamma=89.86
Closest atoms and distances in Å follow each position.
Sites, in units of the cell vectors:
Al (0.5000, 0.5000, 0.2156)  8 Al 2.87-3.16, 4 Te 3.19
Al (0.0000, 0.0000, 0.9991)  4 Ag 2.80, 4 Al 2.87-2.88
Ag (0.5000, 0.5000, 0.7976)  4 Al 2.80
Te (0.0000, 0.0000, 0.4877)  4 Te 3.16, 4 Al 3.19, 4 Ag 3.42

Properties
* energy relative to the elements, uncorrected: 160 meV per atom
* E_tot: -3.210 eV/atom